{
  "formula": "Ba4Ca5",
  "functional": "meta-GGA SCAN",
  "state": "single point on PBEsol structure",
  "m_tot_mub_per_cell": 0.20,
  "de_polymorph_mev_per_atom": 0,
  "ef_ev_per_atom": 0.06,
  "volume_a3_per_atom": 47.6,
  "lattice": [[-6.6796, 6.6796, 2.4016], [6.6796, -6.6796, 2.4016], [6.6796, 6.6796, -2.4016]],
  "species": ["Ba", "Ba", "Ba", "Ba", "Ca", "Ca", "Ca", "Ca", "Ca"],
  "fractional_positions": [[0.0000, 0.3255, 0.3255], [0.0000, 0.6745, 0.6745], [0.3255, 0.0000, 0.3255], [0.6745, 0.0000, 0.6745], [0.0000, 0.0000, 0.0000], [0.3343, 0.3343, 0.6687], [0.3343, 0.6657, 0.0000], [0.6657, 0.3343, 0.0000], [0.6657, 0.6657, 0.3313]]
}

***

{
  "formula": "Ba2Ca",
  "functional": "meta-GGA SCAN",
  "state": "single point on PBEsol structure",
  "m_tot_mub_per_cell": 0.59,
  "de_polymorph_mev_per_atom": 77,
  "ef_ev_per_atom": 0.11,
  "volume_a3_per_atom": 56.0,
  "lattice": [[-4.7746, 4.7746, 3.6847], [4.7746, -4.7746, 3.6847], [4.7746, 4.7746, -3.6847]],
  "species": ["Ba", "Ba", "Ba", "Ba", "Ca", "Ca"],
  "fractional_positions": [[0.1595, 0.6595, 0.8190], [0.3405, 0.1595, 0.5000], [0.6595, 0.8405, 0.5000], [0.8405, 0.3405, 0.1810], [0.2500, 0.2500, 0.0000], [0.7500, 0.7500, 0.0000]]
}

***

{
  "formula": "Ba3Ca5",
  "functional": "meta-GGA SCAN",
  "state": "single point on PBEsol structure",
  "m_tot_mub_per_cell": 0.43,
  "ef_ev_per_atom": 0.05,
  "volume_a3_per_atom": 47.1,
  "lattice": [[5.8151, -5.9637, 0.0000], [5.8151, 5.9637, 0.0000], [0.0000, 0.0000, 5.4382]],
  "species": ["Ba", "Ba", "Ba", "Ca", "Ca", "Ca", "Ca", "Ca"],
  "fractional_positions": [[0.0000, 0.0000, 0.0000], [0.2567, 0.7433, 0.5000], [0.7433, 0.2567, 0.5000], [0.0000, 0.5000, 0.0000], [0.2574, 0.2574, 0.5000], [0.5000, 0.0000, 0.0000], [0.5000, 0.5000, 0.0000], [0.7426, 0.7426, 0.5000]]
}

***

{
  "formula": "BaCa3",
  "functional": "meta-GGA SCAN",
  "state": "single point on PBEsol structure",
  "m_tot_mub_per_cell": 0.40,
  "ef_ev_per_atom": 0.05,
  "volume_a3_per_atom": 44.0,
  "lattice": [[0.0000, 4.4472, 4.4472], [4.4472, 0.0000, 4.4472], [4.4472, 4.4472, 0.0000]],
  "species": ["Ba", "Ca", "Ca", "Ca"],
  "fractional_positions": [[0.0000, 0.0000, 0.0000], [0.2500, 0.2500, 0.2500], [0.5000, 0.5000, 0.5000], [0.7500, 0.7500, 0.7500]]
}

***

{
  "formula": "Ba2Ca",
  "functional": "meta-GGA SCAN",
  "state": "single point on PBEsol structure",
  "m_tot_mub_per_cell": 0.79,
  "de_polymorph_mev_per_atom": 34,
  "ef_ev_per_atom": 0.07,
  "volume_a3_per_atom": 52.1,
  "lattice": [[11.4984, 0.0000, 0.0000], [-5.7492, 9.9579, 0.0000], [0.0000, 0.0000, 4.0929]],
  "species": ["Ba", "Ba", "Ba", "Ba", "Ba", "Ba", "Ca", "Ca", "Ca"],
  "fractional_positions": [[0.0000, 0.3567, 0.0000], [0.0000, 0.6913, 0.5000], [0.3087, 0.3087, 0.5000], [0.3567, 0.0000, 0.0000], [0.6433, 0.6433, 0.0000], [0.6913, 0.0000, 0.5000], [0.0000, 0.0000, 0.0000], [0.3333, 0.6667, 0.5000], [0.6667, 0.3333, 0.5000]]
}

***

{
  "formula": "Ba3Ca",
  "functional": "meta-GGA SCAN",
  "state": "single point on PBEsol structure",
  "m_tot_mub_per_cell": 0.16,
  "de_polymorph_mev_per_atom": 34,
  "ef_ev_per_atom": 0.05,
  "volume_a3_per_atom": 53.2,
  "lattice": [[-2.1024, 6.9198, 3.6577], [2.1024, -6.9198, 3.6577], [2.1024, 6.9198, -3.6577]],
  "species": ["Ba", "Ba", "Ba", "Ca"],
  "fractional_positions": [[0.0000, 0.0000, 0.0000], [0.4191, 0.6661, 0.7530], [0.9131, 0.6661, 0.2470], [0.4998, 0.9998, 0.5000]]
}

***

{
  "formula": "Ba3Ca",
  "functional": "meta-GGA SCAN",
  "state": "single point on PBEsol structure",
  "m_tot_mub_per_cell": 0.56,
  "de_polymorph_mev_per_atom": 0,
  "ef_ev_per_atom": 0.02,
  "volume_a3_per_atom": 53.8,
  "lattice": [[8.4518, 0.0000, 0.0000], [-4.2259, 7.3195, 0.0000], [0.0000, 0.0000, 6.9532]],
  "species": ["Ba", "Ba", "Ba", "Ba", "Ba", "Ba", "Ca", "Ca"],
  "fractional_positions": [[0.1681, 0.3362, 0.2500], [0.1681, 0.8319, 0.2500], [0.3362, 0.1681, 0.7500], [0.6638, 0.8319, 0.2500], [0.8319, 0.1681, 0.7500], [0.8319, 0.6638, 0.7500], [0.3333, 0.6667, 0.7500], [0.6667, 0.3333, 0.2500]]
}

***

{
  "formula": "BaCaCd",
  "functional": "meta-GGA SCAN",
  "state": "single point on PBEsol structure",
  "m_tot_mub_per_cell": 0.00,
  "de_polymorph_mev_per_atom": 461,
  "ef_ev_per_atom": 0.19,
  "volume_a3_per_atom": 38.3,
  "lattice": [[0.0000, 3.8594, 3.8594], [3.8594, 0.0000, 3.8594], [3.8594, 3.8594, 0.0000]],
  "species": ["Ba", "Ca", "Cd"],
  "fractional_positions": [[0.0000, 0.0000, 0.0000], [0.2500, 0.2500, 0.2500], [0.5000, 0.5000, 0.5000]]
}

***

{
  "formula": "BaCa2Cd",
  "functional": "meta-GGA SCAN",
  "state": "single point on PBEsol structure",
  "m_tot_mub_per_cell": 0.07,
  "ef_ev_per_atom": -0.19,
  "volume_a3_per_atom": 37.4,
  "lattice": [[3.8588, 0.0000, 0.0000], [0.0000, 3.8588, 0.0000], [0.0000, 0.0000, 10.0410]],
  "species": ["Ba", "Ca", "Ca", "Cd"],
  "fractional_positions": [[0.0000, 0.0000, 0.0000], [0.5000, 0.5000, 0.3198], [0.5000, 0.5000, 0.6802], [0.0000, 0.0000, 0.5000]]
}

***

{
  "formula": "BaCa4Cd",
  "functional": "meta-GGA SCAN",
  "state": "single point on PBEsol structure",
  "m_tot_mub_per_cell": 0.44,
  "ef_ev_per_atom": 0.20,
  "volume_a3_per_atom": 41.2,
  "lattice": [[0.0000, 4.9802, 4.9802], [4.9802, 0.0000, 4.9802], [4.9802, 4.9802, 0.0000]],
  "species": ["Ba", "Ca", "Ca", "Ca", "Ca", "Cd"],
  "fractional_positions": [[0.0000, 0.0000, 0.0000], [0.1268, 0.6244, 0.6244], [0.6244, 0.1268, 0.6244], [0.6244, 0.6244, 0.1268], [0.6244, 0.6244, 0.6244], [0.2500, 0.2500, 0.2500]]
}

***

{
  "formula": "BaCaCd",
  "functional": "meta-GGA SCAN",
  "state": "single point on PBEsol structure",
  "m_tot_mub_per_cell": 0.02,
  "de_polymorph_mev_per_atom": 0,
  "ef_ev_per_atom": -0.27,
  "volume_a3_per_atom": 36.8,
  "lattice": [[-1.9947, 1.9947, 6.9346], [1.9947, -1.9947, 6.9346], [1.9947, 1.9947, -6.9346]],
  "species": ["Ba", "Ca", "Cd"],
  "fractional_positions": [[0.0000, 0.0000, 0.0000], [0.7251, 0.7251, 0.0000], [0.3404, 0.3404, 0.0000]]
}

***

{
  "formula": "BaCa2Cd",
  "functional": "meta-GGA SCAN",
  "state": "single point on PBEsol structure",
  "m_tot_mub_per_cell": 0.01,
  "ef_ev_per_atom": -0.20,
  "volume_a3_per_atom": 37.6,
  "lattice": [[4.0565, 0.0000, 0.0000], [0.0000, 4.0565, 0.0000], [0.0000, 0.0000, 9.1491]],
  "species": ["Ba", "Ca", "Ca", "Cd"],
  "fractional_positions": [[0.0000, 0.0000, 0.0000], [0.0000, 0.0000, 0.5969], [0.5000, 0.5000, 0.3297], [0.5000, 0.5000, 0.7610]]
}

***

{
  "formula": "BaCa2Cd",
  "functional": "meta-GGA SCAN",
  "state": "single point on PBEsol structure",
  "m_tot_mub_per_cell": 0.13,
  "ef_ev_per_atom": -0.19,
  "volume_a3_per_atom": 37.9,
  "lattice": [[-1.9757, 3.0624, 6.2699], [1.9757, -3.0624, 6.2699], [1.9757, 3.0624, -6.2699]],
  "species": ["Ba", "Ca", "Ca", "Cd"],
  "fractional_positions": [[0.0000, 0.0000, 0.0000], [0.2970, 0.7970, 0.5000], [0.7030, 0.2030, 0.5000], [0.5000, 0.5000, 0.0000]]
}

***

{
  "formula": "BaCa2CrCd",
  "functional": "meta-GGA SCAN",
  "state": "single point on PBEsol structure",
  "m_tot_mub_per_cell": 2.38,
  "ef_ev_per_atom": 1.22,
  "volume_a3_per_atom": 33.5,
  "lattice": [[5.8659, 0.0000, 0.0000], [0.0000, 5.8659, 0.0000], [0.0000, 0.0000, 4.8673]],
  "species": ["Ba", "Ca", "Ca", "Cr", "Cd"],
  "fractional_positions": [[0.0000, 0.0000, 0.0000], [0.0000, 0.5000, 0.0000], [0.5000, 0.0000, 0.0000], [0.0000, 0.0000, 0.5000], [0.5000, 0.5000, 0.5000]]
}